Computed, not measured: a relaxed structure of Mg4Ag3 at the PBE level of DFT.

Calculated formation energy (eV/f.u.): -1.44
Calculated density (kg/m3): 5269
Symmetry: R-3
Uncorrected energy (eV per atom): -2.3391

Cell lengths 7.498, 7.498, 7.498 Å; angles 113.51, 113.51, 113.51 degrees
Fractional positions:
Mg  0.000  0.000  0.000
Mg  0.072  0.773  0.627
Mg  0.227  0.373  0.928
Mg  0.373  0.928  0.227
Mg  0.500  0.500  0.500
Mg  0.627  0.072  0.773
Mg  0.773  0.627  0.072
Mg  0.928  0.227  0.373
Ag  0.135  0.551  0.269
Ag  0.269  0.135  0.551
Ag  0.449  0.731  0.865
Ag  0.551  0.269  0.135
Ag  0.731  0.865  0.449
Ag  0.865  0.449  0.731